(1)
DFT (PBE-GGA) results for an optimized crystal structure of Li2AcGe.

Output
As for the crystal system: tetragonal. For the formation enthalpy at 0 K, the calculation gives -0.178 eV/atom. The value obtained for the total energy is -3.32 eV/atom. The magnetization comes out at 0.00 μB per atom.

a b c (Å): 4.557 4.557 5.127
angles (deg): 90.00 90.00 90.00
Space group P4/mmm (No. 123)
Unique sites:
Li 0.000 0.500 0.000 x2
Ac 0.000 0.000 0.500 x1
Ge 0.500 0.500 0.500 x1

(2)
DFT (PBE-GGA) results for an optimized crystal structure of LiAcGe2.

Output
As for the crystal system: tetragonal. For the formation enthalpy at 0 K, the calculation gives -0.339 eV/atom. For the energy above the most stable polymorph in this dataset, the calculation gives 0.307 eV per atom. The value obtained for the total energy is -4.15 eV/atom. The magnetization comes out at 0.00 μB per atom.

a b c (Å): 3.632 3.632 6.920
angles (deg): 90.00 90.00 90.00
Space group P4/mmm (No. 123)
Unique sites:
Li 0.000 0.000 0.000 x1
Ac 0.000 0.000 0.500 x1
Ge 0.500 0.500 0.187 x2

(3)
DFT (PBE-GGA) results for an optimized crystal structure of Li2AcGe.

Output
As for the crystal system: trigonal. For the formation enthalpy at 0 K, the calculation gives 0.246 eV/atom. The value obtained for the total energy is -2.89 eV/atom. The magnetization comes out at 0.00 μB per atom.

a b c (Å): 3.5137 3.5137 31.0856
angles (deg): 90.00 90.00 120.00
Space group R-3m (No. 166, hexagonal axes)
Unique sites:
Li 0.0000 0.0000 0.1094 x6
Ac 0.0000 0.0000 0.0000 x3
Ge 0.0000 0.0000 0.5000 x3

(4)
DFT (PBE-GGA) results for an optimized crystal structure of LiAc4Ge3.

Output
As for the crystal system: orthorhombic. For the formation enthalpy at 0 K, the calculation gives -0.530 eV/atom. The value obtained for the total energy is -4.56 eV/atom. The magnetization comes out at 0.01 μB per atom.

a b c (Å): 4.370 4.713 11.958
angles (deg): 90.00 90.00 90.00
Space group Pmm2 (No. 25)
Unique sites:
Li 0.000 0.000 0.000 x1
Ac 0.000 0.000 0.686 x1
Ac 0.000 0.500 0.195 x1
Ac 0.500 0.000 0.411 x1
Ac 0.500 0.500 0.909 x1
Ge 0.000 0.500 0.477 x1
Ge 0.500 0.000 0.125 x1
Ge 0.500 0.500 0.621 x1

(5)
DFT (PBE-GGA) results for an optimized crystal structure of Li3AcGe2.

Output
As for the crystal system: monoclinic. For the formation enthalpy at 0 K, the calculation gives -0.490 eV/atom. The value obtained for the total energy is -3.67 eV/atom. The magnetization comes out at 0.00 μB per atom.

a b c (Å): 15.798 4.442 8.057
angles (deg): 90.00 115.03 90.00
Space group C2/m (No. 12)
Unique sites:
Li 0.035 0.000 0.366 x4
Li 0.095 0.500 0.678 x4
Li 0.185 0.500 0.457 x4
Ac 0.153 0.000 0.073 x4
Ge 0.021 0.500 0.165 x4
Ge 0.185 0.000 0.689 x4

(6)
DFT (PBE-GGA) results for an optimized crystal structure of LiAc12Ge6.

Output
As for the crystal system: trigonal. For the formation enthalpy at 0 K, the calculation gives -0.319 eV/atom. The value obtained for the total energy is -4.47 eV/atom. The magnetization comes out at 0.09 μB per atom.

a b c (Å): 14.4531 14.4531 12.2776
angles (deg): 90.00 90.00 120.00
Space group R-3 (No. 148, hexagonal axes)
Unique sites:
Li 0.0000 0.0000 0.0000 x3
Ac 0.0296 0.2011 0.3783 x18
Ac 0.0442 0.2197 0.8901 x18
Ge 0.0390 0.2600 0.6423 x18

Question: Among the records above, which one has the highest magnetization?
Answer: LiAc12Ge6

What did the first record say?
DFT (PBE-GGA) results for an optimized crystal structure of Li2AcGe.

Output
As for the crystal system: tetragonal. For the formation enthalpy at 0 K, the calculation gives -0.178 eV/atom. The value obtained for the total energy is -3.32 eV/atom. The magnetization comes out at 0.00 μB per atom.

a b c (Å): 4.557 4.557 5.127
angles (deg): 90.00 90.00 90.00
Space group P4/mmm (No. 123)
Unique sites:
Li 0.000 0.500 0.000 x2
Ac 0.000 0.000 0.500 x1
Ge 0.500 0.500 0.500 x1

Question: What is the formula in the fourth record?
Answer: LiAc4Ge3